Entry 1:
## La3Mg4Cd4 (PBE)

Data for an optimized crystal structure of La3Mg4Cd4.

Calculated values
Space group: Immm
DFT formation energy (eV/atom): -0.23

Cell: 4.783 7.935 9.157 Å, 115.68 105.14 90.00°
Site moments in Bohr magnetons follow the coordinates.
Sites, in units of the cell vectors:
La1 0.878 0.878 0.757  0.05
La2 0.122 0.122 0.243  0.05
La3 0.000 0.500 0.000  0.06
Cd1 0.780 0.280 0.559  0.01
Cd2 0.500 0.192 0.000  0.01
Cd3 0.220 0.720 0.441  0.01
Cd4 0.500 0.808 0.000  0.01
Mg1 0.326 0.519 0.652  0.00
Mg2 0.674 0.866 0.348  0.00
Mg3 0.674 0.481 0.348  0.00
Mg4 0.326 0.134 0.652  0.00



Entry 2:
## Ti2NbTc5B2 (PBE)

Data for an optimized crystal structure of Ti2NbTc5B2.

Calculated values
Space group: P4/mbm
DFT formation energy (eV/atom): -0.33

Cell: 3.122 9.354 9.354 Å, 90.00 90.00 90.00°
Sites, in units of the cell vectors:
Tc1 0.500 0.785 0.929
Tc2 0.500 0.285 0.571
Tc3 0.500 0.500 0.000
Tc4 0.500 0.929 0.215
Tc5 0.500 0.215 0.071
Tc6 0.500 0.071 0.785
Tc7 0.500 0.000 0.500
Tc8 0.500 0.571 0.715
Tc9 0.500 0.429 0.285
Tc10 0.500 0.715 0.429
Ti1 0.000 0.174 0.326
Ti2 0.000 0.326 0.826
Ti3 0.000 0.674 0.174
Ti4 0.000 0.826 0.674
B1 0.000 0.124 0.624
B2 0.000 0.376 0.124
B3 0.000 0.624 0.876
B4 0.000 0.876 0.376
Nb1 0.000 0.500 0.500
Nb2 0.000 0.000 0.000



Entry 3:
## La8Ir3Pt2 (PBE)

Data for an optimized crystal structure of La8Ir3Pt2.

Calculated values
Space group: P-1
DFT formation energy (eV/atom): -0.76

Cell: 7.371 9.323 8.518 Å, 50.61 62.14 70.87°
Sites, in units of the cell vectors:
Ir1 0.061 0.296 0.668
Ir2 0.939 0.704 0.332
Ir3 0.500 0.000 0.000
La1 0.065 0.074 0.127
La2 0.457 0.120 0.622
La3 0.981 0.403 0.296
La4 0.600 0.372 0.826
La5 0.400 0.628 0.174
La6 0.543 0.880 0.378
La7 0.019 0.597 0.704
La8 0.935 0.926 0.873
Pt1 0.718 0.335 0.154
Pt2 0.282 0.665 0.846



Entry 4:
## KRe (PBE)

Data for an optimized crystal structure of KRe.

Calculated values
Space group: Fd-3m
DFT formation energy (eV/atom): 1.94

Cell: 4.860 4.860 4.860 Å, 60.00 60.00 60.00°
Sites, in units of the cell vectors:
K1 0.250 0.250 0.250
K2 0.000 0.000 0.000
Re1 0.500 0.500 0.500
Re2 0.750 0.750 0.750



Entry 5:
## YGa2AuF (PBE)

Data for an optimized crystal structure of YGa2AuF.

Calculated values
Space group: P4/mmm

Cell: 4.941 4.564 4.941 Å, 90.00 90.00 90.00°
Sites, in units of the cell vectors:
Au1 0.000 0.000 0.000
Ga1 0.500 0.000 0.000
Ga2 0.000 0.000 0.500
Y1 0.500 0.500 0.500
F1 0.000 0.500 0.000



Entry 6:
## Pr6SnPb (PBE)

Data for an optimized crystal structure of Pr6SnPb.

Calculated values
Space group: P4/mmm
DFT formation energy (eV/atom): -0.40

Cell: 5.012 5.012 10.028 Å, 90.00 90.00 90.00°
Sites, in units of the cell vectors:
Pr1 0.500 0.500 0.000
Pr2 0.500 0.000 0.253
Pr3 0.000 0.500 0.747
Pr4 0.500 0.000 0.747
Pr5 0.500 0.500 0.500
Pr6 0.000 0.500 0.253
Sn1 0.000 0.000 0.500
Pb1 0.000 0.000 0.000



Entry 7:
## NdNb2C (PBE)

Data for an optimized crystal structure of NdNb2C.

Calculated values
Space group: R-3m
DFT formation energy (eV/atom): 0.03

Cell: 3.199 3.199 8.859 Å, 79.60 79.60 60.00°
Sites, in units of the cell vectors:
Nd1 0.000 0.000 0.000
Nb1 0.879 0.879 0.364
Nb2 0.121 0.121 0.636
C1 0.500 0.500 0.500



Entry 8:
## SmSc2Tl (PBE)

Data for an optimized crystal structure of SmSc2Tl.

Calculated values
Space group: P4/mmm
DFT formation energy (eV/atom): -0.17

Cell: 4.643 4.699 4.699 Å, 90.00 90.00 90.00°
Site moments in Bohr magnetons follow the coordinates.
Sites, in units of the cell vectors:
Sm1 0.500 0.500 0.500  0.17
Sc1 0.000 0.000 0.500  0.27
Sc2 0.000 0.500 0.000  0.27
Tl1 0.500 0.000 0.000  -0.01



V, respectively: 300; 273; 400; 81; 111; 252; 77; 103 Å³/cell.
DFT total energy, respectively: -27.4; -188.8; -87.9; -19.3; -19.3; -39.6; -34.0; -20.4 eV/cell.
DOS(E_F), respectively: 14.0; 19.1; 10.6; 3.4; 2.8; 8.9; 3.4; 4.5 states/eV/cell.